A plane-wave DFT calculation with PBE was carried out for SmGa3Pd2 after structural relaxation.

Geometry as POSCAR:
```
SmGa3Pd2
1.0
-2.173 3.787 6.879
2.173 -3.787 6.879
2.173 3.787 -6.879
Sm Ga Pd
2 6 4
Direct
0.133 0.133 0.000
0.867 0.867 0.000
0.122 0.326 0.796
0.339 0.000 0.339
0.471 0.674 0.796
0.529 0.326 0.204
0.661 0.000 0.661
0.878 0.674 0.204
0.181 0.500 0.681
0.309 0.809 0.500
0.691 0.191 0.500
0.819 0.500 0.319
```

The calculation puts the total energy at -4.701 eV per atom.

---

A plane-wave DFT calculation with PBE was carried out for LiY2Te after structural relaxation.

Geometry as POSCAR:
```
LiY2Te
1.0
4.354 -2.022 0.000
4.354 2.022 0.000
-1.698 0.000 6.463
Li Y Te
1 2 1
Direct
0.000 0.000 0.000
0.241 0.241 0.742
0.759 0.759 0.258
0.500 0.500 0.500
```

The value obtained for the polymorph energy (0 for the lowest one) is 0.2290 eV/atom. Its formation energy without anion corrections is -0.4552 eV/atom. The calculation puts the total energy at -4.951 eV per atom.

---

A plane-wave DFT calculation with PBE was carried out for Pm3SmGe2C after structural relaxation.

Geometry as POSCAR:
```
Pm3SmGe2C
1.0
-2.420 2.429 7.838
2.420 -2.429 7.838
2.420 2.429 -7.838
Pm Sm Ge C
3 1 2 1
Direct
0.000 0.000 0.000
0.330 0.830 0.500
0.670 0.170 0.500
0.500 0.500 0.000
0.136 0.636 0.500
0.864 0.364 0.500
0.500 0.000 0.500
```

The calculation puts the total energy at -5.869 eV per atom.

---

A plane-wave DFT calculation with PBE was carried out for BaTc2Mo after structural relaxation.

Geometry as POSCAR:
```
BaTc2Mo
1.0
-1.554 2.743 4.800
1.554 -2.743 4.800
1.554 2.743 -4.800
Ba Tc Mo
1 2 1
Direct
0.000 0.000 0.000
0.289 0.789 0.500
0.711 0.211 0.500
0.500 0.500 0.000
```

The value obtained for the polymorph energy (0 for the lowest one) is 0.4950 eV/atom. The calculation puts the total energy at -7.263 eV per atom.